(1)
DFT (PBE) results for an optimized crystal structure of La4Nd5Sm.

Cell lengths 10.748, 10.748, 6.111 Å; angles 90.00, 90.00, 90.00 degrees
Space group P4/nmm (No. 129, origin choice 2)
Unique sites:
La (0.049, 0.750, 0.130) x8
Nd (0.090, 0.090, 0.345) x8
Nd (0.250, 0.750, 0.500) x2
Sm (0.250, 0.250, 0.835) x2

Values from the calculation:
Density: 6.71 Mg/m³
ΔE to the lowest computed polymorph: 0 kJ/mol of formula units
ΔE_f: 1.4 eV/f.u.
N(E_F): 1.268 states/eV per atom

---

(2)
DFT (PBE) results for an optimized crystal structure of SbAs2W.

Cell lengths 3.292, 3.292, 7.629 Å; angles 90.00, 90.00, 90.00 degrees
Space group P4mm (No. 99)
Unique sites:
Sb (0.000, 0.000, 0.000) x1
As (0.000, 0.000, 0.407) x1
As (0.500, 0.500, 0.606) x1
W (0.500, 0.500, 0.246) x1

Values from the calculation:
Density: 9.15 Mg/m³
N(E_F): 0.457 states/eV per atom
ΔE_f (raw): 248 meV/atom

---

(3)
DFT (PBE) results for an optimized crystal structure of LiErAlHg.

Cell lengths 6.963, 6.963, 6.963 Å; angles 90.00, 90.00, 90.00 degrees
Space group F-43m (No. 216)
Unique sites:
Li (0.000, 0.000, 0.000) x4
Er (0.000, 0.000, 0.500) x4
Al (0.250, 0.250, 0.750) x4
Hg (0.250, 0.250, 0.250) x4

Values from the calculation:
Density: 7.91 Mg/m³
ΔE_f: -1.3 eV/f.u.
N(E_F): 0.527 states/eV per atom

---

(4)
DFT (PBE) results for an optimized crystal structure of Co3P.

Cell lengths 7.6989, 7.6989, 2.5746 Å; angles 90.00, 90.00, 120.00 degrees
Space group R-3m (No. 166, hexagonal axes)
Unique sites:
Co (0.0000, 0.5000, 0.0000) x9
P (0.0000, 0.0000, 0.0000) x3

Values from the calculation:
Density: 7.83 Mg/m³
ΔE to the lowest computed polymorph: 152 kJ/mol of formula units
ΔE_f: 0.2 eV/f.u.
N(E_F): 1.288 states/eV per atom

---

- Which formula does entry 4 have?
  Co3P

---

- Number 3 is which compound?
  LiErAlHg

---

- Which formula does entry 2 have?
  SbAs2W

---

- What is the density in the first record?
  6.71 Mg/m³